(1)
Entry from Alexandria: a relaxed structure of KSrAs2 (GGA-PBE).

The structure belongs to space group Pmmm (No. 47); the cell edges are 3.1435, 5.7381 and 6.4735 Å and the angles 90.00°, 90.00° and 90.00°. The asymmetric unit holds K at (0.0000, 0.0000, 0.0000), Sr at (0.5000, 0.5000, 0.5000), As at (0.0000, 0.0000, 0.5000) and As at (0.5000, 0.5000, 0.0000).

The value obtained for the energy above the most stable polymorph in this dataset is 1.725 eV/f.u. The theoretical density is 3933 kg/m3. The value obtained for the electronic total energy is -3.29 eV/atom. The value obtained for the volume is 29.19 Å³ per atom. As for the energy of formation from the pure elements: -0.274 eV/atom.



(2)
Entry from Alexandria: a relaxed structure of Ba2NbHPb (GGA-PBE).

The structure belongs to space group P4/mmm (No. 123); the cell edges are 6.0759, 6.0759 and 5.3974 Å and the angles 90.00°, 90.00° and 90.00°. The asymmetric unit holds Ba at (0.0000, 0.5000, 0.0000), Nb at (0.0000, 0.0000, 0.0000), H at (0.5000, 0.5000, 0.5000) and Pb at (0.0000, 0.0000, 0.5000).

The theoretical density is 4798 kg/m3. The value obtained for the electronic total energy is -3.54 eV/atom. The value obtained for the volume is 39.85 Å³ per atom.



(3)
Entry from Alexandria: a relaxed structure of SiMo4W (GGA-PBE).

The structure belongs to space group F-43m (No. 216); the cell edges are 7.3105, 7.3105 and 7.3105 Å and the angles 90.00°, 90.00° and 90.00°. The asymmetric unit holds Si at (0.0000, 0.0000, 0.0000), Mo at (0.1255, 0.1255, 0.6255) and W at (0.2500, 0.2500, 0.2500).

The theoretical density is 10127 kg/m3. The value obtained for the electronic total energy is -9.86 eV/atom. The value obtained for the volume is 16.28 Å³ per atom.



(4)
Entry from Alexandria: a relaxed structure of ScMoP2Ru (GGA-PBE).

The structure belongs to space group P4/mmm (No. 123); the cell edges are 4.7225, 4.7225 and 4.4185 Å and the angles 90.00°, 90.00° and 90.00°. The asymmetric unit holds Sc at (0.0000, 0.0000, 0.0000), Mo at (0.5000, 0.5000, 0.5000), P at (0.0000, 0.5000, 0.0000) and Ru at (0.0000, 0.0000, 0.5000).

The theoretical density is 5121 kg/m3. The value obtained for the electronic total energy is -6.03 eV/atom. The value obtained for the volume is 19.71 Å³ per atom. As for the energy of formation from the pure elements: 1.420 eV/atom.



(5)
Entry from Alexandria: a relaxed structure of Pr5Sb4S (GGA-PBE).

The structure belongs to space group I4 (No. 79); the cell edges are 9.9998, 9.9998 and 6.3582 Å and the angles 90.00°, 90.00° and 90.00°. The asymmetric unit holds Pr at (0.0000, 0.0000, 0.0000), Pr at (0.0986, 0.7110, 0.5007), Sb at (0.0954, 0.6988, 0.0007) and S at (0.0000, 0.0000, 0.5010).

The value obtained for the energy above the most stable polymorph in this dataset is 0.000 eV/f.u. The theoretical density is 6392 kg/m3. The value obtained for the electronic total energy is -5.79 eV/atom. The value obtained for the volume is 31.79 Å³ per atom.



(6)
Entry from Alexandria: a relaxed structure of Ba2AgTeH (GGA-PBE).

The structure belongs to space group P4/mmm (No. 123); the cell edges are 5.6961, 5.6961 and 4.4211 Å and the angles 90.00°, 90.00° and 90.00°. The asymmetric unit holds Ba at (0.0000, 0.5000, 0.0000), Ag at (0.0000, 0.0000, 0.5000), Te at (0.5000, 0.5000, 0.5000) and H at (0.0000, 0.0000, 0.0000).

The theoretical density is 5917 kg/m3. The value obtained for the electronic total energy is -3.37 eV/atom. The value obtained for the volume is 28.69 Å³ per atom.



(7)
Entry from Alexandria: a relaxed structure of Cs2LiI2 (GGA-PBE).

The structure belongs to space group P4/mbm (No. 127); the cell edges are 10.8255, 10.8255 and 4.6218 Å and the angles 90.00°, 90.00° and 90.00°. The asymmetric unit holds Cs at (0.1441, 0.3559, 0.0000), Li at (0.0000, 0.0000, 0.0000) and I at (0.1535, 0.6535, 0.5000).

The theoretical density is 3229 kg/m3. The value obtained for the electronic total energy is -2.25 eV/atom. The value obtained for the volume is 54.16 Å³ per atom.



(8)
Entry from Alexandria: a relaxed structure of Pm2AlGa3Ir4 (GGA-PBE).

The structure belongs to space group P-4m2 (No. 115); the cell edges are 4.2575, 4.2575 and 10.3360 Å and the angles 90.00°, 90.00° and 90.00°. The asymmetric unit holds Pm at (0.0000, 0.5000, 0.2372), Al at (0.0000, 0.0000, 0.5000), Ga at (0.0000, 0.5000, 0.8730), Ga at (0.5000, 0.5000, 0.5000), Ir at (0.0000, 0.0000, 0.0000), Ir at (0.0000, 0.5000, 0.6319) and Ir at (0.5000, 0.5000, 0.0000).

The theoretical density is 11478 kg/m3. The value obtained for the electronic total energy is -6.53 eV/atom. The value obtained for the volume is 18.74 Å³ per atom. As for the energy of formation from the pure elements: -0.756 eV/atom.



(9)
Entry from Alexandria: a relaxed structure of Y5Sb2As2 (GGA-PBE).

The structure belongs to space group Cmce (No. 64); the cell edges are 15.0563, 7.8820 and 7.9491 Å and the angles 90.00°, 90.00° and 90.00°. The asymmetric unit holds Y at (0.0000, 0.0000, 0.0000), Y at (0.1284, 0.1586, 0.3409), Sb at (0.2024, 0.0000, 0.0000) and As at (0.0000, 0.1463, 0.6443).

The theoretical density is 5900 kg/m3. The value obtained for the electronic total energy is -6.71 eV/atom. The value obtained for the volume is 26.20 Å³ per atom.



(10)
Entry from Alexandria: a relaxed structure of MnAg2Pt (GGA-PBE).

The structure belongs to space group P4/mmm (No. 123); the cell edges are 3.9343, 3.9343 and 4.2577 Å and the angles 90.00°, 90.00° and 90.00°. The asymmetric unit holds Mn at (0.0000, 0.0000, 0.0000), Ag at (0.0000, 0.5000, 0.5000) and Pt at (0.5000, 0.5000, 0.0000).

The value obtained for the energy above the most stable polymorph in this dataset is 0.091 eV/f.u. The theoretical density is 11735 kg/m3. The value obtained for the electronic total energy is -5.25 eV/atom. The value obtained for the volume is 16.48 Å³ per atom. As for the energy of formation from the pure elements: -0.023 eV/atom.



(11)
Entry from Alexandria: a relaxed structure of HfP2SO (GGA-PBE).

The structure belongs to space group P4/mmm (No. 123); the cell edges are 5.1575, 5.1575 and 3.8969 Å and the angles 90.00°, 90.00° and 90.00°. The asymmetric unit holds Hf at (0.0000, 0.0000, 0.0000), P at (0.0000, 0.5000, 0.0000), S at (0.5000, 0.5000, 0.5000) and O at (0.0000, 0.0000, 0.5000).

The value obtained for the energy above the most stable polymorph in this dataset is 0.000 eV/f.u. The theoretical density is 4622 kg/m3. The value obtained for the electronic total energy is -6.16 eV/atom. The value obtained for the volume is 20.73 Å³ per atom.



(12)
Entry from Alexandria: a relaxed structure of LiPrPuPd (GGA-PBE).

The structure belongs to space group F-43m (No. 216); the cell edges are 7.2387, 7.2387 and 7.2387 Å and the angles 90.00°, 90.00° and 90.00°. The asymmetric unit holds Li at (0.0000, 0.0000, 0.0000), Pr at (0.2500, 0.2500, 0.7500), Pu at (0.2500, 0.2500, 0.2500) and Pd at (0.0000, 0.0000, 0.5000).

The theoretical density is 8726 kg/m3. The value obtained for the electronic total energy is -6.69 eV/atom. The value obtained for the volume is 23.71 Å³ per atom. As for the energy of formation from the pure elements: -0.140 eV/atom.



Look up the volume of the second one. 39.85 Å³ per atom



Among the records above, which one has the lowest theoretical density? Cs2LiI2



Which of these has the lowest electronic total energy? SiMo4W



Which value of volume does entry 6 give? 28.69 Å³ per atom